# ZnCrCo2, optimized geometry, DFT PBEsol
# - final energy (eV/atom) = -6.800
# - space-group type = No. 47
# - E_form (eV/atom) = 0.025
data_ZnCrCo2
_space_group_name_H-M_alt 'P 1'
_space_group_IT_number 1
_cell_length_a 2.543
_cell_length_b 3.269
_cell_length_c 5.238
_cell_angle_alpha 90.00
_cell_angle_beta 90.00
_cell_angle_gamma 90.00
loop_
_space_group_symop_operation_xyz
'x,y,z'
loop_
_atom_site_label
_atom_site_type_symbol
_atom_site_fract_x
_atom_site_fract_y
_atom_site_fract_z
Co1 Co 0.000 0.000 0.765
Co2 Co 0.000 0.000 0.235
Zn1 Zn 0.500 0.500 0.500
Cr1 Cr 0.500 0.500 0.000

---

# ZnCrCo2, optimized geometry, DFT PBEsol
# - final energy (eV/atom) = -6.725
# - space-group type = No. 8
# - E_form (eV/atom) = 0.100
data_ZnCrCo2
_space_group_name_H-M_alt 'P 1'
_space_group_IT_number 1
_cell_length_a 2.493
_cell_length_b 4.257
_cell_length_c 4.371
_cell_angle_alpha 100.92
_cell_angle_beta 106.57
_cell_angle_gamma 90.00
loop_
_space_group_symop_operation_xyz
'x,y,z'
loop_
_atom_site_label
_atom_site_type_symbol
_atom_site_fract_x
_atom_site_fract_y
_atom_site_fract_z
Co1 Co 0.256 0.726 0.511
Co2 Co 0.991 0.015 0.982
Zn1 Zn 0.744 0.224 0.489
Cr1 Cr 0.509 0.535 0.019

---

# ZnCr2Co, optimized geometry, DFT PBEsol
# - final energy (eV/atom) = -7.252
# - space-group type = No. 8
# - E_form (eV/atom) = 0.199
data_ZnCr2Co
_space_group_name_H-M_alt 'P 1'
_space_group_IT_number 1
_cell_length_a 2.451
_cell_length_b 4.296
_cell_length_c 4.505
_cell_angle_alpha 97.31
_cell_angle_beta 90.00
_cell_angle_gamma 106.58
loop_
_space_group_symop_operation_xyz
'x,y,z'
loop_
_atom_site_label
_atom_site_type_symbol
_atom_site_fract_x
_atom_site_fract_y
_atom_site_fract_z
Cr1 Cr 0.012 0.024 0.001
Cr2 Cr 0.249 0.499 0.756
Zn1 Zn 0.494 0.988 0.492
Co1 Co 0.745 0.489 0.251

---

# ZnCrCo2, optimized geometry, DFT PBEsol
# - final energy (eV/atom) = -6.800
# - space-group type = No. 123
# - E_form (eV/atom) = 0.025
data_ZnCrCo2
_space_group_name_H-M_alt 'P 1'
_space_group_IT_number 1
_cell_length_a 2.743
_cell_length_b 2.743
_cell_length_c 5.890
_cell_angle_alpha 90.00
_cell_angle_beta 90.00
_cell_angle_gamma 90.00
loop_
_space_group_symop_operation_xyz
'x,y,z'
loop_
_atom_site_label
_atom_site_type_symbol
_atom_site_fract_x
_atom_site_fract_y
_atom_site_fract_z
Cr1 Cr 0.500 0.500 0.000
Co1 Co 0.000 0.000 0.232
Co2 Co 0.000 0.000 0.768
Zn1 Zn 0.500 0.500 0.500

---

# ZnCrCo2, optimized geometry, DFT PBEsol
# - final energy (eV/atom) = -6.718
# - space-group type = No. 65
# - E_form (eV/atom) = 0.107
data_ZnCrCo2
_space_group_name_H-M_alt 'P 1'
_space_group_IT_number 1
_cell_length_a 2.441
_cell_length_b 2.441
_cell_length_c 7.875
_cell_angle_alpha 90.00
_cell_angle_beta 90.00
_cell_angle_gamma 108.13
loop_
_space_group_symop_operation_xyz
'x,y,z'
loop_
_atom_site_label
_atom_site_type_symbol
_atom_site_fract_x
_atom_site_fract_y
_atom_site_fract_z
Zn1 Zn 0.500 0.500 0.000
Cr1 Cr 0.500 0.500 0.500
Co1 Co 0.000 0.000 0.740
Co2 Co 0.000 0.000 0.260

---

# ZrCr2Co, optimized geometry, DFT PBEsol
# - final energy (eV/atom) = -8.959
# - space-group type = No. 123
# - E_form (eV/atom) = 0.369
data_ZrCr2Co
_space_group_name_H-M_alt 'P 1'
_space_group_IT_number 1
_cell_length_a 3.086
_cell_length_b 4.147
_cell_length_c 4.147
_cell_angle_alpha 90.00
_cell_angle_beta 90.00
_cell_angle_gamma 90.00
loop_
_space_group_symop_operation_xyz
'x,y,z'
loop_
_atom_site_label
_atom_site_type_symbol
_atom_site_fract_x
_atom_site_fract_y
_atom_site_fract_z
Co1 Co 0.500 0.000 0.000
Zr1 Zr 0.500 0.500 0.500
Cr1 Cr 0.000 0.500 0.000
Cr2 Cr 0.000 0.000 0.500

---

# ZrCr2Co, optimized geometry, DFT PBEsol
# - final energy (eV/atom) = -9.215
# - space-group type = No. 99
# - E_form (eV/atom) = 0.113
data_ZrCr2Co
_space_group_name_H-M_alt 'P 1'
_space_group_IT_number 1
_cell_length_a 2.961
_cell_length_b 2.961
_cell_length_c 6.100
_cell_angle_alpha 90.00
_cell_angle_beta 90.00
_cell_angle_gamma 90.00
loop_
_space_group_symop_operation_xyz
'x,y,z'
loop_
_atom_site_label
_atom_site_type_symbol
_atom_site_fract_x
_atom_site_fract_y
_atom_site_fract_z
Zr1 Zr 0.000 0.000 0.505
Cr1 Cr 0.000 0.000 0.009
Cr2 Cr 0.500 0.500 0.209
Co1 Co 0.500 0.500 0.776

---

# ZrCr2Co, optimized geometry, DFT PBEsol
# - final energy (eV/atom) = -8.998
# - space-group type = No. 12
# - E_form (eV/atom) = 0.329
data_ZrCr2Co
_space_group_name_H-M_alt 'P 1'
_space_group_IT_number 1
_cell_length_a 2.638
_cell_length_b 4.746
_cell_length_c 4.951
_cell_angle_alpha 115.44
_cell_angle_beta 100.20
_cell_angle_gamma 100.73
loop_
_space_group_symop_operation_xyz
'x,y,z'
loop_
_atom_site_label
_atom_site_type_symbol
_atom_site_fract_x
_atom_site_fract_y
_atom_site_fract_z
Cr1 Cr 0.500 0.500 0.500
Cr2 Cr 0.000 0.000 0.500
Co1 Co 0.500 0.000 0.000
Zr1 Zr 0.000 0.500 0.000

---

# ZrCr2Co, optimized geometry, DFT PBEsol
# - final energy (eV/atom) = -8.895
# - space-group type = No. 160
# - E_form (eV/atom) = 0.433
data_ZrCr2Co
_space_group_name_H-M_alt 'P 1'
_space_group_IT_number 1
_cell_length_a 2.804
_cell_length_b 2.804
_cell_length_c 8.181
_cell_angle_alpha 80.13
_cell_angle_beta 80.13
_cell_angle_gamma 60.00
loop_
_space_group_symop_operation_xyz
'x,y,z'
loop_
_atom_site_label
_atom_site_type_symbol
_atom_site_fract_x
_atom_site_fract_y
_atom_site_fract_z
Cr1 Cr 0.735 0.735 0.794
Cr2 Cr 0.002 0.002 0.993
Zr1 Zr 0.502 0.502 0.495
Co1 Co 0.261 0.261 0.217

---

# Zr2CrCo3, optimized geometry, DFT PBEsol
# - final energy (eV/atom) = -8.889
# - space-group type = No. 166
# - E_form (eV/atom) = -0.284
data_Zr2CrCo3
_space_group_name_H-M_alt 'P 1'
_space_group_IT_number 1
_cell_length_a 4.763
_cell_length_b 4.763
_cell_length_c 4.763
_cell_angle_alpha 62.42
_cell_angle_beta 62.42
_cell_angle_gamma 62.42
loop_
_space_group_symop_operation_xyz
'x,y,z'
loop_
_atom_site_label
_atom_site_type_symbol
_atom_site_fract_x
_atom_site_fract_y
_atom_site_fract_z
Cr1 Cr 0.000 0.000 0.000
Co1 Co 0.500 0.000 0.000
Co2 Co 0.000 0.500 0.000
Co3 Co 0.000 0.000 0.500
Zr1 Zr 0.373 0.373 0.373
Zr2 Zr 0.627 0.627 0.627

---

# Cs2CoCu3F10, optimized geometry, DFT PBEsol
# - ΔE_f (raw) (eV/f.u.) = -30.46
# - final energy (eV/atom) = -4.522
# - space-group type = No. 2
data_Cs2CoCu3F10
_space_group_name_H-M_alt 'P 1'
_space_group_IT_number 1
_cell_length_a 6.818
_cell_length_b 6.130
_cell_length_c 6.946
_cell_angle_alpha 66.39
_cell_angle_beta 67.07
_cell_angle_gamma 67.51
loop_
_space_group_symop_operation_xyz
'x,y,z'
loop_
_atom_site_label
_atom_site_type_symbol
_atom_site_fract_x
_atom_site_fract_y
_atom_site_fract_z
F1 F 0.044 0.113 0.686
F2 F 0.302 0.329 0.930
F3 F 0.961 0.321 0.311
F4 F 0.301 0.929 0.362
F5 F 0.691 0.139 0.041
F6 F 0.309 0.861 0.959
F7 F 0.956 0.887 0.314
F8 F 0.698 0.671 0.070
F9 F 0.039 0.679 0.689
F10 F 0.699 0.071 0.638
Cs1 Cs 0.367 0.391 0.366
Cs2 Cs 0.633 0.609 0.634
Cu1 Cu 0.500 0.000 0.000
Cu2 Cu 0.000 0.500 0.000
Cu3 Cu 0.000 0.000 0.000
Co1 Co 0.000 0.000 0.500

---

# CsCoF3, optimized geometry, DFT PBEsol
# - ΔE_f (raw) (eV/f.u.) = -10.74
# - final energy (eV/atom) = -5.040
# - space-group type = No. 166
data_CsCoF3
_space_group_name_H-M_alt 'P 1'
_space_group_IT_number 1
_cell_length_a 6.126
_cell_length_b 6.126
_cell_length_c 8.121
_cell_angle_alpha 67.84
_cell_angle_beta 67.84
_cell_angle_gamma 60.00
loop_
_space_group_symop_operation_xyz
'x,y,z'
loop_
_atom_site_label
_atom_site_type_symbol
_atom_site_fract_x
_atom_site_fract_y
_atom_site_fract_z
F1 F 0.000 0.500 0.000
F2 F 0.705 0.266 0.323
F3 F 0.266 0.705 0.323
F4 F 0.295 0.295 0.677
F5 F 0.500 0.000 0.000
F6 F 0.705 0.705 0.323
F7 F 0.734 0.295 0.677
F8 F 0.295 0.734 0.677
F9 F 0.500 0.500 0.000
Co1 Co 0.500 0.500 0.500
Co2 Co 0.620 0.620 0.141
Co3 Co 0.380 0.380 0.859
Cs1 Cs 0.215 0.215 0.354
Cs2 Cs 0.000 0.000 0.000
Cs3 Cs 0.785 0.785 0.646

---

# Cs2CoF, optimized geometry, DFT PBEsol
# - ΔE_f (raw) (eV/f.u.) = -0.79
# - final energy (eV/atom) = -3.084
# - space-group type = No. 225
data_Cs2CoF
_space_group_name_H-M_alt 'P 1'
_space_group_IT_number 1
_cell_length_a 5.600
_cell_length_b 5.600
_cell_length_c 5.600
_cell_angle_alpha 60.00
_cell_angle_beta 60.00
_cell_angle_gamma 60.00
loop_
_space_group_symop_operation_xyz
'x,y,z'
loop_
_atom_site_label
_atom_site_type_symbol
_atom_site_fract_x
_atom_site_fract_y
_atom_site_fract_z
Co1 Co 0.500 0.500 0.500
Cs1 Cs 0.250 0.250 0.250
Cs2 Cs 0.750 0.750 0.750
F1 F 0.000 0.000 0.000

---

# Cs3CoF6, optimized geometry, DFT PBEsol
# - ΔE_f (raw) (eV/f.u.) = -24.54
# - final energy (eV/atom) = -4.667
# - space-group type = No. 225
data_Cs3CoF6
_space_group_name_H-M_alt 'P 1'
_space_group_IT_number 1
_cell_length_a 6.488
_cell_length_b 6.488
_cell_length_c 6.488
_cell_angle_alpha 60.00
_cell_angle_beta 60.00
_cell_angle_gamma 60.00
loop_
_space_group_symop_operation_xyz
'x,y,z'
loop_
_atom_site_label
_atom_site_type_symbol
_atom_site_fract_x
_atom_site_fract_y
_atom_site_fract_z
Cs1 Cs 0.250 0.250 0.250
Cs2 Cs 0.500 0.500 0.500
Cs3 Cs 0.750 0.750 0.750
F1 F 0.201 0.799 0.799
F2 F 0.799 0.799 0.201
F3 F 0.201 0.201 0.799
F4 F 0.201 0.799 0.201
F5 F 0.799 0.201 0.201
F6 F 0.799 0.201 0.799
Co1 Co 0.000 0.000 0.000

---

# Cs2KCoF6, optimized geometry, DFT PBEsol
# - ΔE_f (raw) (eV/f.u.) = -24.93
# - final energy (eV/atom) = -4.725
# - space-group type = No. 225
data_Cs2KCoF6
_space_group_name_H-M_alt 'P 1'
_space_group_IT_number 1
_cell_length_a 6.231
_cell_length_b 6.231
_cell_length_c 6.231
_cell_angle_alpha 60.00
_cell_angle_beta 60.00
_cell_angle_gamma 60.00
loop_
_space_group_symop_operation_xyz
'x,y,z'
loop_
_atom_site_label
_atom_site_type_symbol
_atom_site_fract_x
_atom_site_fract_y
_atom_site_fract_z
F1 F 0.790 0.210 0.790
F2 F 0.790 0.210 0.210
F3 F 0.790 0.790 0.210
F4 F 0.210 0.210 0.790
F5 F 0.210 0.790 0.790
F6 F 0.210 0.790 0.210
Co1 Co 0.000 0.000 0.000
K1 K 0.500 0.500 0.500
Cs1 Cs 0.750 0.750 0.750
Cs2 Cs 0.250 0.250 0.250

---

# CsTiCoOF5, optimized geometry, DFT PBEsol
# - ΔE_f (raw) (eV/f.u.) = -24.05
# - final energy (eV/atom) = -6.215
# - space-group type = No. 74
data_CsTiCoOF5
_space_group_name_H-M_alt 'P 1'
_space_group_IT_number 1
_cell_length_a 7.238
_cell_length_b 7.312
_cell_length_c 7.312
_cell_angle_alpha 59.41
_cell_angle_beta 60.34
_cell_angle_gamma 60.34
loop_
_space_group_symop_operation_xyz
'x,y,z'
loop_
_atom_site_label
_atom_site_type_symbol
_atom_site_fract_x
_atom_site_fract_y
_atom_site_fract_z
F1 F 0.166 0.064 0.182
F2 F 0.834 0.318 0.436
F3 F 0.567 0.683 0.183
F4 F 0.588 0.064 0.182
F5 F 0.433 0.317 0.817
F6 F 0.412 0.936 0.818
F7 F 0.166 0.682 0.564
F8 F 0.588 0.682 0.564
F9 F 0.412 0.318 0.436
F10 F 0.834 0.936 0.818
Co1 Co 0.500 0.000 0.000
Co2 Co 0.500 0.500 0.500
Ti1 Ti 0.000 0.000 0.500
Ti2 Ti 0.500 0.000 0.500
Cs1 Cs 0.111 0.639 0.139
Cs2 Cs 0.889 0.361 0.861
O1 O 0.209 0.041 0.541
O2 O 0.791 0.959 0.459

---

# CsVCoF6, optimized geometry, DFT PBEsol
# - ΔE_f (raw) (eV/f.u.) = -22.39
# - final energy (eV/atom) = -5.808
# - space-group type = No. 74
data_CsVCoF6
_space_group_name_H-M_alt 'P 1'
_space_group_IT_number 1
_cell_length_a 7.221
_cell_length_b 7.329
_cell_length_c 7.368
_cell_angle_alpha 120.18
_cell_angle_beta 90.00
_cell_angle_gamma 119.51
loop_
_space_group_symop_operation_xyz
'x,y,z'
loop_
_atom_site_label
_atom_site_type_symbol
_atom_site_fract_x
_atom_site_fract_y
_atom_site_fract_z
Cs1 Cs 0.117 0.233 0.367
Cs2 Cs 0.883 0.767 0.633
F1 F 0.819 0.638 0.069
F2 F 0.181 0.362 0.931
F3 F 0.439 0.878 0.689
F4 F 0.430 0.244 0.075
F5 F 0.561 0.122 0.311
F6 F 0.430 0.244 0.669
F7 F 0.186 0.756 0.331
F8 F 0.570 0.756 0.331
F9 F 0.814 0.244 0.669
F10 F 0.186 0.756 0.925
F11 F 0.570 0.756 0.925
F12 F 0.814 0.244 0.075
V1 V 0.500 0.000 0.500
V2 V 0.500 0.000 0.000
Co1 Co 0.000 0.500 0.000
Co2 Co 0.500 0.500 0.000

---

# Cs3GaCo, optimized geometry, DFT PBEsol
# - final energy (eV/atom) = -1.870
# - space-group type = No. 221
# - E_form (eV/atom) = 0.911
data_Cs3GaCo
_space_group_name_H-M_alt 'P 1'
_space_group_IT_number 1
_cell_length_a 6.260
_cell_length_b 6.260
_cell_length_c 6.260
_cell_angle_alpha 90.00
_cell_angle_beta 90.00
_cell_angle_gamma 90.00
loop_
_space_group_symop_operation_xyz
'x,y,z'
loop_
_atom_site_label
_atom_site_type_symbol
_atom_site_fract_x
_atom_site_fract_y
_atom_site_fract_z
Cs1 Cs 0.500 0.000 0.000
Cs2 Cs 0.000 0.500 0.000
Cs3 Cs 0.000 0.000 0.500
Ga1 Ga 0.500 0.500 0.500
Co1 Co 0.000 0.000 0.000

---

# Cs2CoGePb, optimized geometry, DFT PBEsol
# - final energy (eV/atom) = -2.752
# - space-group type = No. 123
# - E_form (eV/atom) = 0.960
data_Cs2CoGePb
_space_group_name_H-M_alt 'P 1'
_space_group_IT_number 1
_cell_length_a 4.848
_cell_length_b 7.160
_cell_length_c 7.160
_cell_angle_alpha 90.00
_cell_angle_beta 90.00
_cell_angle_gamma 90.00
loop_
_space_group_symop_operation_xyz
'x,y,z'
loop_
_atom_site_label
_atom_site_type_symbol
_atom_site_fract_x
_atom_site_fract_y
_atom_site_fract_z
Cs1 Cs 0.000 0.000 0.500
Cs2 Cs 0.000 0.500 0.000
Ge1 Ge 0.500 0.500 0.500
Pb1 Pb 0.000 0.000 0.000
Co1 Co 0.500 0.000 0.000

---

# Cs2CoH12S2O14, optimized geometry, DFT PBEsol
# - final energy (eV/atom) = -5.531
# - space-group type = No. 14
data_Cs2CoH12S2O14
_space_group_name_H-M_alt 'P 1'
_space_group_IT_number 1
_cell_length_a 6.331
_cell_length_b 9.129
_cell_length_c 12.674
_cell_angle_alpha 90.00
_cell_angle_beta 90.00
_cell_angle_gamma 106.92
loop_
_space_group_symop_operation_xyz
'x,y,z'
loop_
_atom_site_label
_atom_site_type_symbol
_atom_site_fract_x
_atom_site_fract_y
_atom_site_fract_z
H1 H 0.164 0.600 0.560
H2 H 0.806 0.521 0.357
H3 H 0.423 0.718 0.905
H4 H 0.482 0.848 0.815
H5 H 0.836 0.400 0.440
H6 H 0.518 0.652 0.315
H7 H 0.194 0.979 0.857
H8 H 0.585 0.738 0.630
H9 H 0.821 0.208 0.900
H10 H 0.577 0.282 0.095
H11 H 0.415 0.762 0.130
H12 H 0.585 0.238 0.870
H13 H 0.836 0.900 0.060
H14 H 0.577 0.782 0.405
H15 H 0.806 0.021 0.143
H16 H 0.482 0.348 0.685
H17 H 0.179 0.292 0.400
H18 H 0.164 0.100 0.940
H19 H 0.821 0.708 0.600
H20 H 0.423 0.218 0.595
H21 H 0.194 0.479 0.643
H22 H 0.518 0.152 0.185
H23 H 0.179 0.792 0.100
H24 H 0.415 0.262 0.370
O1 O 0.208 0.503 0.566
O2 O 0.792 0.496 0.434
O3 O 0.557 0.140 0.318
O4 O 0.887 0.075 0.263
O5 O 0.443 0.860 0.682
O6 O 0.490 0.173 0.109
O7 O 0.113 0.425 0.763
O8 O 0.510 0.327 0.609
O9 O 0.339 0.341 0.386
O10 O 0.098 0.265 0.917
O11 O 0.887 0.575 0.237
O12 O 0.339 0.841 0.114
O13 O 0.443 0.360 0.818
O14 O 0.208 0.004 0.934
O15 O 0.902 0.235 0.417
O16 O 0.699 0.467 0.074
O17 O 0.301 0.533 0.926
O18 O 0.699 0.967 0.426
O19 O 0.098 0.765 0.583
O20 O 0.661 0.159 0.886
O21 O 0.490 0.673 0.391
O22 O 0.792 0.996 0.066
O23 O 0.113 0.925 0.737
O24 O 0.661 0.659 0.614
O25 O 0.301 0.033 0.574
O26 O 0.557 0.640 0.182
O27 O 0.510 0.827 0.891
O28 O 0.902 0.735 0.083
Co1 Co 0.500 0.500 0.500
Co2 Co 0.500 0.000 0.000
S1 S 0.759 0.603 0.144
S2 S 0.759 0.103 0.356
S3 S 0.241 0.897 0.644
S4 S 0.241 0.397 0.856
Cs1 Cs 0.146 0.365 0.146
Cs2 Cs 0.146 0.865 0.354
Cs3 Cs 0.854 0.635 0.854
Cs4 Cs 0.854 0.135 0.646

---

| no. | volume (A^3/atom) |
| --- | --- |
| 1 | 10.88 |
| 2 | 10.90 |
| 3 | 11.27 |
| 4 | 11.08 |
| 5 | 11.15 |
| 6 | 13.27 |
| 7 | 13.37 |
| 8 | 13.16 |
| 9 | 13.65 |
| 10 | 13.42 |
| 11 | 14.75 |
| 12 | 15.84 |
| 13 | 31.05 |
| 14 | 19.32 |
| 15 | 17.11 |
| 16 | 15.21 |
| 17 | 15.39 |
| 18 | 49.06 |
| 19 | 49.70 |
| 20 | 11.30 |